Record 1
{"formula": "CdAg7Au3", "functional": "GGA-PBE", "state": "relaxed", "lattice": [[5.110, -0.023, -0.029], [-2.356, 6.629, 0.291], [-2.356, -1.325, 6.501]], "species": ["Cd", "Ag", "Ag", "Ag", "Ag", "Ag", "Ag", "Ag", "Au", "Au", "Au"], "fractional_positions": [[0.500, 0.500, 0.500], [0.156, 0.176, 0.176], [0.329, 0.067, 0.592], [0.671, 0.408, 0.933], [0.329, 0.592, 0.067], [0.000, 0.500, 0.500], [0.671, 0.933, 0.408], [0.844, 0.824, 0.824], [0.000, 0.767, 0.233], [0.500, 0.000, 0.000], [0.000, 0.233, 0.767]], "sg": "C2/m", "vol_a3_per_cell": 221, "ef_ev_per_atom": 0.136, "e_tot_ev_per_atom": -2.6550}



Record 2
{"formula": "CdAgAu", "functional": "GGA-PBE", "state": "relaxed", "lattice": [[-0.057, -1.133, -4.448], [3.617, -2.114, -1.877], [-0.307, -4.409, -1.242]], "species": ["Au", "Ag", "Cd"], "fractional_positions": [[0.250, 0.250, 0.250], [0.500, 0.500, 0.500], [0.000, 0.000, 0.000]], "sg": "F-43m", "vol_a3_per_cell": 68, "ef_ev_per_atom": -0.005, "e_tot_ev_per_atom": -2.3526}



Record 3
{"formula": "CdAg4Au3", "functional": "GGA-PBE", "state": "relaxed", "lattice": [[4.638, 0.000, -1.636], [-0.496, 4.705, -1.406], [-0.149, -0.521, 6.971]], "species": ["Au", "Au", "Au", "Ag", "Ag", "Ag", "Ag", "Cd"], "fractional_positions": [[0.000, 0.500, 0.000], [0.874, 0.877, 0.748], [0.126, 0.123, 0.252], [0.752, 0.255, 0.503], [0.248, 0.745, 0.497], [0.373, 0.370, 0.746], [0.627, 0.630, 0.254], [0.500, 0.000, 0.000]], "sg": "C2/m", "vol_a3_per_cell": 147, "ef_ev_per_atom": -0.037, "e_tot_ev_per_atom": -2.8056}



Record 4
{"formula": "Cd2AgAu9", "functional": "GGA-PBE", "state": "relaxed", "lattice": [[4.196, 0.000, 0.000], [0.000, 4.196, 0.000], [0.000, 0.000, 12.526]], "species": ["Cd", "Cd", "Ag", "Au", "Au", "Au", "Au", "Au", "Au", "Au", "Au", "Au"], "fractional_positions": [[0.000, 0.000, 0.331], [0.000, 0.000, 0.669], [0.000, 0.000, 0.000], [0.500, 0.500, 0.000], [0.500, 0.500, 0.331], [0.500, 0.500, 0.669], [0.500, 0.000, 0.164], [0.500, 0.000, 0.500], [0.500, 0.000, 0.836], [0.000, 0.500, 0.164], [0.000, 0.500, 0.500], [0.000, 0.500, 0.836]], "sg": "P4/mmm", "vol_a3_per_cell": 221, "ef_ev_per_atom": -0.096, "e_tot_ev_per_atom": -2.9442}



Record 5
{"formula": "Cd7AgAu2", "functional": "GGA-PBE", "state": "relaxed", "lattice": [[4.756, 0.000, 0.000], [-2.378, 4.119, 0.000], [0.000, 0.000, 11.505]], "species": ["Cd", "Cd", "Cd", "Cd", "Cd", "Cd", "Cd", "Ag", "Au", "Au"], "fractional_positions": [[0.667, 0.333, 0.591], [0.667, 0.333, 0.853], [0.000, 0.000, 0.741], [0.000, 0.000, 0.269], [0.333, 0.667, 0.434], [0.333, 0.667, 0.961], [0.667, 0.333, 0.113], [0.000, 0.000, 0.013], [0.333, 0.667, 0.689], [0.667, 0.333, 0.352]], "sg": "P3m1", "vol_a3_per_cell": 225, "ef_ev_per_atom": -0.085, "e_tot_ev_per_atom": -1.6663}



Record 6
{"formula": "CdAg2Au2", "functional": "GGA-PBE", "state": "relaxed", "lattice": [[-2.761, 1.743, 2.069], [2.016, -0.647, 3.234], [2.860, 6.619, 1.851]], "species": ["Au", "Au", "Ag", "Ag", "Cd"], "fractional_positions": [[0.402, 0.402, 0.196], [0.598, 0.598, 0.804], [0.750, 0.250, 0.500], [0.250, 0.750, 0.500], [0.000, 0.000, 0.000]], "sg": "I4/mmm", "vol_a3_per_cell": 103, "ef_ev_per_atom": 0.049, "e_tot_ev_per_atom": -2.5859}



Record 7
{"formula": "CdAg5Au", "functional": "GGA-PBE", "state": "relaxed", "lattice": [[5.680, 0.800, -0.529], [2.561, 5.133, -0.529], [2.387, 1.718, 9.780]], "species": ["Cd", "Cd", "Ag", "Ag", "Ag", "Ag", "Ag", "Ag", "Ag", "Ag", "Ag", "Ag", "Au", "Au"], "fractional_positions": [[0.244, 0.756, 0.250], [0.756, 0.244, 0.750], [0.751, 0.775, 0.185], [0.362, 0.350, 0.541], [0.775, 0.751, 0.685], [0.738, 0.262, 0.250], [0.650, 0.638, 0.959], [0.350, 0.362, 0.041], [0.262, 0.738, 0.750], [0.225, 0.249, 0.315], [0.638, 0.650, 0.459], [0.249, 0.225, 0.815], [0.000, 0.000, 0.000], [0.000, 0.000, 0.500]], "sg": "C2/c", "vol_a3_per_cell": 273, "ef_ev_per_atom": 0.073, "e_tot_ev_per_atom": -2.5625}



Record 8
{"formula": "Cd8Ag3Au2", "functional": "GGA-PBE", "state": "relaxed", "lattice": [[0.945, -1.861, -8.006], [-4.859, -5.475, 3.855], [-3.685, 2.548, -1.027]], "species": ["Cd", "Cd", "Cd", "Cd", "Cd", "Cd", "Cd", "Cd", "Ag", "Ag", "Ag", "Au", "Au"], "fractional_positions": [[0.615, 0.385, 0.000], [0.385, 0.615, 0.000], [0.141, 0.859, 0.000], [0.859, 0.141, 0.000], [0.121, 0.380, 0.500], [0.620, 0.879, 0.500], [0.380, 0.121, 0.500], [0.879, 0.620, 0.500], [0.000, 0.000, 0.500], [0.765, 0.765, 0.000], [0.235, 0.235, 0.000], [0.258, 0.742, 0.500], [0.742, 0.258, 0.500]], "sg": "Cmmm", "vol_a3_per_cell": 292, "ef_ev_per_atom": -0.070, "e_tot_ev_per_atom": -1.7952}



Record 9
{"formula": "CdAgAu", "functional": "GGA-PBE", "state": "relaxed", "lattice": [[-1.193, 1.429, -5.843], [-3.872, 0.170, -4.752], [-1.300, 2.872, 0.116]], "species": ["Au", "Ag", "Cd"], "fractional_positions": [[0.666, 0.666, 0.334], [0.002, 0.002, 0.998], [0.333, 0.333, 0.667]], "sg": "I4mm", "vol_a3_per_cell": 57, "ef_ev_per_atom": -0.082, "e_tot_ev_per_atom": -2.4302}



Record 10
{"formula": "Cd5Ag4Au", "functional": "GGA-PBE", "state": "relaxed", "lattice": [[5.221, 0.000, 0.000], [2.610, 6.525, 0.000], [2.610, 0.000, 6.525]], "species": ["Cd", "Cd", "Cd", "Cd", "Cd", "Ag", "Ag", "Ag", "Ag", "Au"], "fractional_positions": [[0.823, 0.406, 0.893], [0.230, 0.893, 0.594], [0.716, 0.107, 0.406], [0.122, 0.594, 0.107], [0.610, 0.000, 0.000], [0.403, 0.438, 0.702], [0.841, 0.702, 0.562], [0.106, 0.298, 0.438], [0.544, 0.562, 0.298], [0.115, 0.000, 0.000]], "sg": "I4", "vol_a3_per_cell": 222, "ef_ev_per_atom": 0.063, "e_tot_ev_per_atom": -1.8623}



Record 11
{"formula": "Cd6Ag2Au", "functional": "GGA-PBE", "state": "relaxed", "lattice": [[2.236, 4.687, -0.105], [-2.236, 4.687, -0.105], [0.000, 2.385, 8.710]], "species": ["Cd", "Cd", "Cd", "Cd", "Cd", "Cd", "Ag", "Ag", "Au"], "fractional_positions": [[0.666, 0.666, 0.943], [0.334, 0.334, 0.057], [0.003, 0.003, 0.176], [0.337, 0.337, 0.396], [0.997, 0.997, 0.824], [0.663, 0.663, 0.604], [0.327, 0.327, 0.727], [0.673, 0.673, 0.273], [0.000, 0.000, 0.500]], "sg": "C2/m", "vol_a3_per_cell": 184, "ef_ev_per_atom": -0.058, "e_tot_ev_per_atom": -1.6655}



Record 12
{"formula": "Cd5Ag3Au4", "functional": "GGA-PBE", "state": "relaxed", "lattice": [[-1.995, -0.962, -4.815], [2.621, -4.347, -3.135], [-6.704, -6.379, 1.135]], "species": ["Cd", "Cd", "Cd", "Cd", "Cd", "Ag", "Ag", "Ag", "Au", "Au", "Au", "Au"], "fractional_positions": [[0.391, 0.269, 0.948], [0.500, 0.500, 0.500], [0.165, 0.803, 0.866], [0.835, 0.197, 0.134], [0.609, 0.731, 0.052], [0.305, 0.116, 0.274], [0.000, 0.500, 0.500], [0.695, 0.884, 0.726], [0.912, 0.357, 0.818], [0.212, 0.996, 0.580], [0.788, 0.004, 0.420], [0.088, 0.643, 0.182]], "sg": "C2/m", "vol_a3_per_cell": 253, "ef_ev_per_atom": 0.014, "e_tot_ev_per_atom": -2.1729}



Record 13
{"formula": "Cd5AgAu4", "functional": "GGA-PBE", "state": "relaxed", "lattice": [[3.327, 0.000, 0.000], [0.000, 3.327, 0.000], [0.000, 0.000, 17.580]], "species": ["Cd", "Cd", "Cd", "Cd", "Cd", "Ag", "Au", "Au", "Au", "Au"], "fractional_positions": [[0.500, 0.500, 0.101], [0.500, 0.500, 0.300], [0.500, 0.500, 0.500], [0.500, 0.500, 0.700], [0.500, 0.500, 0.899], [0.000, 0.000, 0.000], [0.000, 0.000, 0.199], [0.000, 0.000, 0.400], [0.000, 0.000, 0.600], [0.000, 0.000, 0.801]], "sg": "P4/mmm", "vol_a3_per_cell": 195, "ef_ev_per_atom": -0.148, "e_tot_ev_per_atom": -2.2018}



Record 14
{"formula": "CdAg8Au2", "functional": "GGA-PBE", "state": "relaxed", "lattice": [[-4.892, -0.084, 0.400], [-1.369, -6.747, -1.624], [-0.767, -2.059, 6.723]], "species": ["Cd", "Ag", "Ag", "Ag", "Ag", "Ag", "Ag", "Ag", "Ag", "Au", "Au"], "fractional_positions": [[0.000, 0.000, 0.000], [0.794, 0.171, 0.665], [0.206, 0.335, 0.829], [0.870, 0.279, 0.279], [0.130, 0.721, 0.721], [0.794, 0.665, 0.171], [0.206, 0.829, 0.335], [0.291, 0.425, 0.425], [0.709, 0.575, 0.575], [0.441, 0.145, 0.145], [0.559, 0.855, 0.855]], "sg": "C2/m", "vol_a3_per_cell": 236, "ef_ev_per_atom": 0.183, "e_tot_ev_per_atom": -2.5701}



Record 15
{"formula": "Cd8Ag5Au", "functional": "GGA-PBE", "state": "relaxed", "lattice": [[-5.690, 3.062, 3.433], [2.858, -5.657, 3.657], [4.634, 5.621, -0.677]], "species": ["Cd", "Cd", "Cd", "Cd", "Cd", "Cd", "Cd", "Cd", "Ag", "Ag", "Ag", "Ag", "Ag", "Au"], "fractional_positions": [[0.106, 0.767, 0.005], [0.995, 0.100, 0.761], [0.823, 0.220, 0.390], [0.610, 0.434, 0.830], [0.397, 0.566, 0.177], [0.661, 0.900, 0.894], [0.239, 0.233, 0.339], [0.170, 0.780, 0.603], [0.942, 0.417, 0.127], [0.873, 0.815, 0.291], [0.709, 0.583, 0.525], [0.500, 0.000, 0.500], [0.475, 0.185, 0.058], [0.250, 0.500, 0.750]], "sg": "I-4", "vol_a3_per_cell": 298, "ef_ev_per_atom": 0.015, "e_tot_ev_per_atom": -1.7608}



Record 16
{"formula": "CdAg4Au3", "functional": "GGA-PBE", "state": "relaxed", "lattice": [[2.894, 0.000, 0.000], [0.000, 4.638, -0.631], [-1.447, -2.386, 11.981]], "species": ["Cd", "Ag", "Ag", "Ag", "Ag", "Au", "Au", "Au"], "fractional_positions": [[0.500, 0.000, 0.000], [0.224, 0.206, 0.449], [0.776, 0.794, 0.551], [0.653, 0.569, 0.306], [0.347, 0.431, 0.694], [0.000, 0.500, 0.000], [0.105, 0.987, 0.211], [0.895, 0.013, 0.789]], "sg": "C2/m", "vol_a3_per_cell": 156, "ef_ev_per_atom": 0.028, "e_tot_ev_per_atom": -2.7408}



Record 17
{"formula": "Cd2Ag7Au2", "functional": "GGA-PBE", "state": "relaxed", "lattice": [[5.094, -0.475, -0.619], [-1.457, 6.618, 0.643], [-1.457, -1.095, 6.558]], "species": ["Cd", "Cd", "Ag", "Ag", "Ag", "Ag", "Ag", "Ag", "Ag", "Au", "Au"], "fractional_positions": [[0.500, 0.195, 0.805], [0.500, 0.805, 0.195], [0.167, 0.414, 0.924], [0.833, 0.076, 0.586], [0.833, 0.586, 0.076], [0.167, 0.924, 0.414], [0.176, 0.407, 0.407], [0.000, 0.000, 0.000], [0.824, 0.593, 0.593], [0.451, 0.747, 0.747], [0.549, 0.253, 0.253]], "sg": "C2/m", "vol_a3_per_cell": 214, "ef_ev_per_atom": 0.018, "e_tot_ev_per_atom": -2.5583}



Record 18
{"formula": "CdAg6Au", "functional": "GGA-PBE", "state": "relaxed", "lattice": [[4.046, 0.000, 0.000], [0.000, 6.005, -0.038], [0.000, 0.038, 6.005]], "species": ["Cd", "Ag", "Ag", "Ag", "Ag", "Ag", "Ag", "Au"], "fractional_positions": [[0.500, 0.000, 0.000], [0.000, 0.748, 0.252], [0.000, 0.252, 0.748], [0.000, 0.748, 0.748], [0.000, 0.252, 0.252], [0.500, 0.500, 0.000], [0.500, 0.000, 0.500], [0.500, 0.500, 0.500]], "sg": "P4/mmm", "vol_a3_per_cell": 146, "ef_ev_per_atom": -0.027, "e_tot_ev_per_atom": -2.6895}



Record 19
{"formula": "Cd12Ag2Au5", "functional": "GGA-PBE", "state": "relaxed", "lattice": [[6.084, 0.000, 0.000], [-3.042, 7.449, -1.646], [0.000, -0.350, 9.018]], "species": ["Cd", "Cd", "Cd", "Cd", "Cd", "Cd", "Cd", "Cd", "Cd", "Cd", "Cd", "Cd", "Ag", "Ag", "Au", "Au", "Au", "Au", "Au"], "fractional_positions": [[0.897, 0.794, 0.182], [0.056, 0.596, 0.872], [0.540, 0.596, 0.872], [0.095, 0.668, 0.435], [0.574, 0.668, 0.435], [0.440, 0.881, 0.707], [0.560, 0.119, 0.293], [0.905, 0.332, 0.565], [0.426, 0.332, 0.565], [0.944, 0.404, 0.128], [0.460, 0.404, 0.128], [0.103, 0.206, 0.818], [0.748, 0.000, 0.000], [0.252, 0.000, 0.000], [0.100, 0.199, 0.281], [0.371, 0.741, 0.161], [0.000, 0.000, 0.500], [0.629, 0.259, 0.839], [0.900, 0.801, 0.719]], "sg": "C2/m", "vol_a3_per_cell": 405, "ef_ev_per_atom": -0.072, "e_tot_ev_per_atom": -1.8124}



Record 20
{"formula": "Cd2Ag2Au7", "functional": "GGA-PBE", "state": "relaxed", "lattice": [[-1.573, -1.685, -3.412], [4.922, -6.774, -1.408], [-0.999, -8.187, 2.020]], "species": ["Cd", "Cd", "Ag", "Ag", "Au", "Au", "Au", "Au", "Au", "Au", "Au"], "fractional_positions": [[0.723, 0.902, 0.652], [0.277, 0.348, 0.098], [0.000, 0.619, 0.381], [0.500, 0.315, 0.685], [0.868, 0.055, 0.209], [0.865, 0.466, 0.805], [0.500, 0.917, 0.083], [0.642, 0.481, 0.235], [0.358, 0.765, 0.519], [0.132, 0.791, 0.945], [0.135, 0.195, 0.534]], "sg": "Imm2", "vol_a3_per_cell": 215, "ef_ev_per_atom": -0.034, "e_tot_ev_per_atom": -2.8046}